No. 1
A plane-wave DFT calculation with PBE was carried out for Sn5AsP4 after structural relaxation.

Summary:
Volume, Å³ per atom: 22.269
ΔH_f (0 K), eV per atom: -0.001
Magnetization, μB/atom: 0.0000

abc: 3.981 5.612 10.546
angles: 105.43 100.88 90.00
Element x y z (fractional)
Sn (0.605, 0.105, 0.209)
Sn (0.801, 0.301, 0.602)
Sn (0.199, 0.699, 0.398)
Sn (0.000, 0.500, 0.000)
Sn (0.395, 0.895, 0.791)
As (0.000, 0.000, 0.000)
P (0.399, 0.399, 0.799)
P (0.798, 0.798, 0.597)
P (0.202, 0.202, 0.403)
P (0.601, 0.601, 0.201)

***

No. 2
A plane-wave DFT calculation with PBE was carried out for MnNbZn3 after structural relaxation.

Summary:
Relative energy among the computed polymorphs, meV per atom: 0
Volume, Å³ per atom: 17.848
ΔH_f (0 K), eV per atom: 0.884
Magnetization, μB/atom: 0.3940

abc: 4.469 4.469 4.469
angles: 90.00 90.00 90.00
Each line ends with the local moment (μB).
Element x y z (fractional)
Nb (0.500, 0.500, 0.500)  -0.21
Mn (0.000, 0.000, 0.000)  2.18
Zn (0.000, 0.500, 0.000)  0.01
Zn (0.000, 0.000, 0.500)  0.04
Zn (0.500, 0.000, 0.000)  -0.03

***

No. 3
A plane-wave DFT calculation with PBE was carried out for RuI after structural relaxation.

Summary:
Relative energy among the computed polymorphs, meV per atom: 402
Volume, Å³ per atom: 28.781
Uncorrected formation energy, eV/atom: 0.634
Magnetization, μB/atom: 0.0000

abc: 7.831 8.269 7.111
angles: 90.00 90.00 90.00
Element x y z (fractional)
Ru (0.287, 0.170, 0.447)
Ru (0.787, 0.330, 0.553)
Ru (0.713, 0.670, 0.053)
Ru (0.213, 0.830, 0.947)
Ru (0.428, 0.612, 0.080)
Ru (0.928, 0.888, 0.920)
Ru (0.572, 0.112, 0.420)
Ru (0.072, 0.388, 0.580)
I (0.680, 0.094, 0.772)
I (0.180, 0.406, 0.228)
I (0.320, 0.594, 0.728)
I (0.820, 0.906, 0.272)
I (0.316, 0.871, 0.292)
I (0.816, 0.629, 0.708)
I (0.684, 0.371, 0.208)
I (0.184, 0.129, 0.792)

***

No. 4
A plane-wave DFT calculation with PBE was carried out for Mg2Ru after structural relaxation.

Summary:
Volume, Å³ per atom: 20.427
ΔH_f (0 K), eV per atom: 0.114
Magnetization, μB/atom: 0.0006

abc: 4.645 4.645 2.840
angles: 90.00 90.00 90.00
Element x y z (fractional)
Mg (0.000, 0.500, 0.500)
Mg (0.500, 0.000, 0.500)
Ru (0.000, 0.000, 0.000)

***

No. 5
A plane-wave DFT calculation with PBE was carried out for GdHoCdGe after structural relaxation.

Summary:
Volume, Å³ per atom: 24.351
ΔH_f (0 K), eV per atom: -0.474
Magnetization, μB/atom: 1.8566

abc: 5.165 5.165 5.165
angles: 60.00 60.00 60.00
Each line ends with the local moment (μB).
Element x y z (fractional)
Ge (0.250, 0.250, 0.250)  -0.04
Gd (0.500, 0.500, 0.500)  7.10
Ho (0.000, 0.000, 0.000)  0.14
Cd (0.750, 0.750, 0.750)  0.00

***

No. 6
A plane-wave DFT calculation with PBE was carried out for Pr2EuPb after structural relaxation.

Summary:
Relative energy among the computed polymorphs, meV per atom: 125
Volume, Å³ per atom: 32.649
ΔH_f (0 K), eV per atom: -0.196
Magnetization, μB/atom: 1.9755

abc: 5.695 5.695 5.695
angles: 60.00 60.00 60.00
Each line ends with the local moment (μB).
Element x y z (fractional)
Pb (0.000, 0.000, 0.000)  0.03
Eu (0.500, 0.500, 0.500)  -6.99
Pr (0.250, 0.250, 0.250)  -0.15
Pr (0.750, 0.750, 0.750)  -0.15